No. 1
Below is a relaxed structure of Er3B2PdPt9, with properties calculated at the PBE-GGA level.

Structure (POSCAR):
```
Er3B2PdPt9
1.0
-4.982 -1.322 -2.354
2.958 -3.954 2.780
-4.441 2.355 8.075
Er Pt B Pd
3 9 2 1
Direct
0.333 0.667 0.600
0.667 0.333 0.400
0.000 0.000 0.000
0.163 0.837 0.278
0.000 0.500 0.000
0.837 0.673 0.722
0.673 0.837 0.278
0.163 0.327 0.278
0.500 0.500 0.000
0.500 0.000 0.000
0.327 0.163 0.722
0.837 0.163 0.722
0.667 0.333 0.853
0.333 0.667 0.147
0.000 0.000 0.500
```

Results
V: 264 Å³ per cell
symmetry: P-3m1
calculated total energy: -6.564 eV/atom
calculated formation energy: -790 meV per atom
density: 15.0 g/cm3

=====

No. 2
Below is a relaxed structure of La4RuSeCl2, with properties calculated at the PBE-GGA level.

Structure (POSCAR):
```
La4RuSeCl2
1.0
4.155 0.000 0.000
0.000 7.413 -0.260
0.000 2.508 7.198
La Cl Ru Se
4 2 1 1
Direct
0.500 0.279 0.722
0.000 0.728 0.736
0.000 0.272 0.264
0.500 0.721 0.278
0.500 0.000 0.500
0.000 0.000 0.000
0.000 0.500 0.500
0.500 0.500 0.000
```

Results
V: 224 Å³ per cell
symmetry: P2/m
calculated total energy: -5.908 eV/atom
density: 6.0 g/cm3